! PBE-GGA GeBi2Se4, optimized geometry; values from VASP
! Space group: P2_1/m (11)
! E in eV per atom: -3.929
! E_form (uncorrected) in kcal/mol of atoms: -3.907
! Total magnetization in μB/atom: 0.000
&SYSTEM
  ibrav = 0, nat = 14, ntyp = 3
/
ATOMIC_SPECIES
Ge 72.64 Ge.upf
Bi 208.98 Bi.upf
Se 78.96 Se.upf
CELL_PARAMETERS angstrom
7.099 0.000 0.000
0.000 7.193 0.000
-2.325 0.000 7.801
ATOMIC_POSITIONS angstrom
Ge 0.921 1.798 2.407
Ge 3.853 5.395 5.393
Bi 1.330 5.395 0.424
Bi 0.549 5.395 4.382
Bi 4.225 1.798 3.419
Bi 3.444 1.798 7.377
Se -1.704 0.088 5.910
Se -1.704 3.508 5.910
Se 2.903 1.798 0.928
Se 1.767 1.798 4.770
Se 3.008 5.395 3.031
Se 1.871 5.395 6.873
Se 6.479 3.685 1.891
Se 6.479 7.105 1.891